1.
Density functional theory data (PBE) for an optimized crystal structure of BaTa2Te.

Unit cell a=3.5997 b=4.3331 c=7.2678 alpha=90.00 beta=91.19 gamma=90.00
Last column: nearest neighbours and their distance in Å.
Space group Pm (No. 6)
Symmetry-distinct sites (fractional):
Ba1 0.0000 0.0000 0.0000 x1  4 Te 3.45, 2 Ba 3.60, 4 Ta 3.72-3.86
Ta1 0.4803 0.0000 0.4585 x1  4 Ta 2.82-2.83, 2 Te 2.91
Ta2 0.9772 0.5000 0.4269 x1  2 Te 2.82, 4 Ta 2.82-2.83
Te1 0.4895 0.5000 0.7257 x1  4 Ta 2.82-2.91

The raw formation energy comes out at 0.192 eV/atom. The total moment comes out at 0.000 μB/atom.

2.
Density functional theory data (PBE) for an optimized crystal structure of BaTa2Te.

Unit cell a=3.5983 b=3.5983 c=8.1750 alpha=90.00 beta=90.00 gamma=90.00
Last column: nearest neighbours and their distance in Å.
Space group P4mm (No. 99)
Symmetry-distinct sites (fractional):
Ba1 0.0000 0.0000 0.0000 x1  4 Ba 3.60, 5 Ta 3.64-3.83, 4 Te 3.69
Ta1 0.0000 0.0000 0.4681 x1  4 Ta 2.82, 4 Te 3.05
Ta2 0.5000 0.5000 0.3188 x1  4 Ta 2.82, 1 Te 2.90
Te1 0.5000 0.5000 0.6735 x1  5 Ta 2.90-3.05

The raw formation energy comes out at 0.154 eV/atom. The total moment comes out at 0.159 μB/atom.

3.
Density functional theory data (PBE) for an optimized crystal structure of Ba2TaTe5.

Unit cell a=8.0784 b=8.0784 c=9.4872 alpha=90.00 beta=90.00 gamma=90.00
Last column: nearest neighbours and their distance in Å.
Space group I4mm (No. 107)
Symmetry-distinct sites (fractional):
Ba1 0.0000 0.5000 0.0000 x4  10 Te 3.71-4.09
Ta1 0.0000 0.0000 0.2965 x2  5 Te 2.57-2.77
Te1 0.0000 0.0000 0.5679 x2  1 Ta 2.57
Te2 0.2391 0.2391 0.2505 x8  1 Ta 2.77

The raw formation energy comes out at -0.877 eV/atom. The total moment comes out at 0.000 μB/atom.

4.
Density functional theory data (PBE) for an optimized crystal structure of BaTa2Te.

Unit cell a=6.2937 b=10.4562 c=3.0428 alpha=90.00 beta=90.00 gamma=90.00
Last column: nearest neighbours and their distance in Å.
Space group Cmmm (No. 65)
Symmetry-distinct sites (fractional):
Ba1 0.0000 0.0000 0.0000 x2  2 Ba 3.04, 2 Te 3.15
Ta1 0.2500 0.2500 0.5000 x4  4 Ta 3.04-3.15
Te1 0.0000 0.5000 0.0000 x2  2 Te 3.04, 2 Ba 3.15

The raw formation energy comes out at 1.120 eV/atom. The total moment comes out at 0.000 μB/atom.

5.
Density functional theory data (PBE) for an optimized crystal structure of BaTa2Te.

Unit cell a=3.3315 b=6.0299 c=10.9411 alpha=90.00 beta=90.00 gamma=90.00
Last column: nearest neighbours and their distance in Å.
Space group Imm2 (No. 44)
Symmetry-distinct sites (fractional):
Ba1 0.0000 0.0000 0.0000 x2  2 Ba 3.33, 8 Ta 3.45-3.72, 2 Te 3.61
Ta1 0.0000 0.0000 0.4921 x2  2 Ta 2.67, 2 Te 2.89
Ta2 0.0000 0.5000 0.8016 x2  2 Ta 2.67
Te1 0.0000 0.5000 0.2076 x2  2 Ta 2.89

The raw formation energy comes out at 0.673 eV/atom. The total moment comes out at 0.103 μB/atom.

6.
Density functional theory data (PBE) for an optimized crystal structure of BaTa4Te.

Unit cell a=8.2713 b=8.2713 c=8.2713 alpha=90.00 beta=90.00 gamma=90.00
Last column: nearest neighbours and their distance in Å.
Space group F-43m (No. 216)
Symmetry-distinct sites (fractional):
Ba1 0.0000 0.0000 0.0000 x4  12 Ta 3.41, 4 Te 3.58
Ta1 0.1317 0.1317 0.6317 x16  6 Ta 2.77-3.08
Te1 0.2500 0.2500 0.2500 x4  12 Ta 3.45, 4 Ba 3.58

The raw formation energy comes out at 0.791 eV/atom. The total moment comes out at 0.000 μB/atom.

Volume list, top to bottom, in A^3/atom: 28.335, 26.462, 38.696, 25.031, 27.474, 23.578